(1)
A geometry-optimized BaGePb2I8 structure, computed with PBE.

Unit cell a=7.3653 b=9.6650 c=7.7752 alpha=90.00 beta=90.55 gamma=90.00
With the nearest neighbours (Å) after each atom.
Space group P2/m (No. 10)
Symmetry-distinct sites (fractional):
1 Ba 0.0000 0.0000 0.0000 (multiplicity 1)  6 I 3.45
2 Ge 0.0000 0.5000 0.0000 (multiplicity 1)  6 I 3.02-3.10
3 Pb 0.5000 0.2651 0.5000 (multiplicity 2)  6 I 3.27-3.28
4 I 0.2395 0.5000 0.6747 (multiplicity 2)  1 Ge 3.10, 2 Pb 3.28
5 I 0.2420 0.2799 0.1554 (multiplicity 4)  1 Ge 3.02, 1 Pb 3.27
6 I 0.2673 0.0000 0.6382 (multiplicity 2)  2 Pb 3.27, 1 Ba 3.45

Properties
- Crystal system: monoclinic
- DFT total energy: -2.9945 eV/atom



(2)
A geometry-optimized PaPb2F11 structure, computed with PBE.

Unit cell a=8.2468 b=10.5887 c=11.3356 alpha=90.00 beta=90.00 gamma=90.00
With the nearest neighbours (Å) after each atom.
Space group Ibam (No. 72)
Symmetry-distinct sites (fractional):
1 Pa 0.0000 0.0000 0.2500 (multiplicity 4)  8 F 2.21-2.24
2 Pb 0.1349 0.3185 0.0000 (multiplicity 8)  7 F 2.16-2.41
3 F 0.0000 0.5000 0.0000 (multiplicity 4)  2 Pb 2.22
4 F 0.0916 0.1668 0.1492 (multiplicity 16)  1 Pa 2.24, 1 Pb 2.36
5 F 0.1348 0.2788 0.5000 (multiplicity 8)  2 Pb 2.16-2.26
6 F 0.2055 0.0646 0.3597 (multiplicity 16)  1 Pa 2.21, 1 Pb 2.41

Properties
- Crystal system: orthorhombic
- DFT total energy: -5.4570 eV/atom



(3)
A geometry-optimized KWBr2 structure, computed with PBE.

Unit cell a=3.6093 b=3.6093 c=7.7719 alpha=90.00 beta=90.00 gamma=90.00
With the nearest neighbours (Å) after each atom.
Space group P4mm (No. 99)
Symmetry-distinct sites (fractional):
1 K 0.0000 0.0000 0.0000 (multiplicity 1)  4 Br 3.23, 4 K 3.61
2 W 0.5000 0.5000 0.3743 (multiplicity 1)  5 Br 2.66-2.88
3 Br 0.0000 0.0000 0.4705 (multiplicity 1)  4 W 2.66
4 Br 0.5000 0.5000 0.7443 (multiplicity 1)  1 W 2.88

Properties
- Excess energy over the best structure of this formula in the dataset: 296 meV per atom
- Crystal system: tetragonal



(4)
A geometry-optimized KCd2Ag structure, computed with PBE.

Unit cell a=10.1095 b=3.0549 c=7.1166 alpha=90.00 beta=95.91 gamma=90.00
With the nearest neighbours (Å) after each atom.
Space group Cm (No. 8)
Symmetry-distinct sites (fractional):
1 K 0.0000 0.0000 0.0000 (multiplicity 2)  2 K 3.05
2 Cd 0.0050 0.5000 0.5251 (multiplicity 2)  3 Ag 2.97-3.00, 5 Cd 3.05-3.12
3 Cd 0.2618 0.5000 0.3225 (multiplicity 2)  2 Ag 3.03, 5 Cd 3.05-3.12
4 Ag 0.2418 0.0000 0.6862 (multiplicity 2)  5 Cd 2.97-3.03, 2 Ag 3.05

Properties
- Calculated formation energy: 42 meV/atom
- Excess energy over the best structure of this formula in the dataset: 112 meV per atom
- Crystal system: monoclinic



(5)
A geometry-optimized In2Tc2Bi structure, computed with PBE.

Unit cell a=7.0265 b=7.0265 c=4.1363 alpha=90.00 beta=90.00 gamma=90.00
With the nearest neighbours (Å) after each atom.
Space group P4/mbm (No. 127)
Symmetry-distinct sites (fractional):
1 In 0.1557 0.3443 0.0000 (multiplicity 4)  6 Tc 2.90-2.93, 1 In 3.09
2 Tc 0.1395 0.6395 0.5000 (multiplicity 4)  2 Bi 2.72, 1 Tc 2.77, 6 In 2.90-2.93
3 Bi 0.0000 0.0000 0.5000 (multiplicity 2)  4 Tc 2.72

Properties
- Calculated formation energy: 416 meV/atom
- Crystal system: tetragonal



(6)
A geometry-optimized NdCuPb structure, computed with PBE.

Unit cell a=3.5153 b=3.5153 c=11.8853 alpha=90.00 beta=90.00 gamma=90.00
With the nearest neighbours (Å) after each atom.
Space group I4mm (No. 107)
Symmetry-distinct sites (fractional):
1 Nd 0.0000 0.0000 0.0000 (multiplicity 2)  4 Cu 3.06
2 Cu 0.0000 0.0000 0.6499 (multiplicity 2)  4 Pb 2.99, 4 Nd 3.06
3 Pb 0.0000 0.0000 0.2891 (multiplicity 2)  4 Cu 2.99

Properties
- Calculated formation energy: -156 meV/atom
- Crystal system: tetragonal



(7)
A geometry-optimized RbAs2PbSe structure, computed with PBE.

Unit cell a=5.6257 b=5.6257 c=5.8080 alpha=90.00 beta=90.00 gamma=90.00
With the nearest neighbours (Å) after each atom.
Space group P4/mmm (No. 123)
Symmetry-distinct sites (fractional):
1 Rb 0.0000 0.0000 0.0000 (multiplicity 1)  4 Se 3.98, 8 As 4.04
2 As 0.0000 0.5000 0.5000 (multiplicity 2)  2 Pb 2.81
3 Pb 0.5000 0.5000 0.5000 (multiplicity 1)  4 As 2.81, 2 Se 2.90
4 Se 0.5000 0.5000 0.0000 (multiplicity 1)  2 Pb 2.90

Properties
- Excess energy over the best structure of this formula in the dataset: 0 meV per atom
- Crystal system: tetragonal



(8)
A geometry-optimized Tm8In2Ga structure, computed with PBE.

Unit cell a=18.3910 b=5.0824 c=6.6925 alpha=90.00 beta=103.53 gamma=90.00
With the nearest neighbours (Å) after each atom.
Space group C2/m (No. 12)
Symmetry-distinct sites (fractional):
1 Tm 0.0182 0.0000 0.2678 (multiplicity 4)  2 Ga 3.04, 1 In 3.13, 3 Tm 3.33-3.37
2 Tm 0.0912 0.5000 0.9565 (multiplicity 4)  1 Ga 3.12, 3 Tm 3.37, 2 In 3.41
3 Tm 0.1522 0.5000 0.4721 (multiplicity 4)  1 Ga 2.85, 3 In 3.10-3.13
4 Tm 0.2056 0.0000 0.7990 (multiplicity 4)  3 In 3.08-3.28, 2 Tm 3.35
5 In 0.1859 0.0000 0.2440 (multiplicity 4)  9 Tm 3.08-3.41
6 Ga 0.0000 0.5000 0.5000 (multiplicity 2)  8 Tm 2.85-3.12

Properties
- Calculated formation energy: -241 meV/atom
- Crystal system: monoclinic



Number 1: V 46.121 Å³ per atom. Number 2: V 17.676 Å³ per atom. Number 3: V 25.311 Å³ per atom. Number 4: V 27.328 Å³ per atom. Number 5: V 20.422 Å³ per atom. Number 6: V 24.478 Å³ per atom. Number 7: V 36.763 Å³ per atom. Number 8: V 27.645 Å³ per atom.